Density functional theory data (PBE) for a geometry-optimized TbDy2Er2Mg2 structure.

Calculated values
**Total energy**: -3.760 eV per atom

Structure (CIF):
```
data_TbDy2Er2Mg2
_chemical_formula_sum 'Tb1 Dy2 Er2 Mg2'
_symmetry_space_group_name_H-M 'P 1'
_symmetry_Int_Tables_number 1
_cell_length_a 5.4192
_cell_length_b 5.4192
_cell_length_c 8.5546
_cell_angle_alpha 71.53
_cell_angle_beta 71.53
_cell_angle_gamma 60.00
loop_
_symmetry_equiv_pos_as_xyz
'x,y,z'
loop_
_atom_site_label
_atom_site_type_symbol
_atom_site_fract_x
_atom_site_fract_y
_atom_site_fract_z
_atom_site_occupancy
Tb1 Tb 0.0000 0.0000 0.0000 1
Dy1 Dy 0.5729 0.5729 0.2813 1
Dy2 Dy 0.4271 0.4271 0.7187 1
Er1 Er 0.1547 0.1547 0.5360 1
Er2 Er 0.8453 0.8453 0.4640 1
Mg1 Mg 0.7111 0.7111 0.8668 1
Mg2 Mg 0.2889 0.2889 0.1332 1
```

=====

Density functional theory data (PBE) for a geometry-optimized LiPrThAl structure.

Calculated values
**Total energy**: -4.559 eV per atom

Structure (CIF):
```
data_LiPrThAl
_chemical_formula_sum 'Li1 Pr1 Th1 Al1'
_symmetry_space_group_name_H-M 'P 1'
_symmetry_Int_Tables_number 1
_cell_length_a 5.2810
_cell_length_b 5.2810
_cell_length_c 5.2810
_cell_angle_alpha 60.00
_cell_angle_beta 60.00
_cell_angle_gamma 60.00
loop_
_symmetry_equiv_pos_as_xyz
'x,y,z'
loop_
_atom_site_label
_atom_site_type_symbol
_atom_site_fract_x
_atom_site_fract_y
_atom_site_fract_z
_atom_site_occupancy
Pr1 Pr 0.7500 0.7500 0.7500 1
Al1 Al 0.0000 0.0000 0.0000 1
Th1 Th 0.2500 0.2500 0.2500 1
Li1 Li 0.5000 0.5000 0.5000 1
```

=====

Density functional theory data (PBE) for a geometry-optimized Tl3Br structure.

Calculated values
**Distance to the lowest polymorph of the same formula**: 6 meV per atom
**Total energy**: -2.486 eV per atom
**Formation energy (no corrections)**: -0.294 eV/atom

Structure (CIF):
```
data_Tl3Br
_chemical_formula_sum 'Tl3 Br1'
_symmetry_space_group_name_H-M 'P 1'
_symmetry_Int_Tables_number 1
_cell_length_a 3.9514
_cell_length_b 5.7444
_cell_length_c 5.6220
_cell_angle_alpha 90.00
_cell_angle_beta 90.00
_cell_angle_gamma 90.00
loop_
_symmetry_equiv_pos_as_xyz
'x,y,z'
loop_
_atom_site_label
_atom_site_type_symbol
_atom_site_fract_x
_atom_site_fract_y
_atom_site_fract_z
_atom_site_occupancy
Tl1 Tl 0.0000 0.0000 0.0841 1
Tl2 Tl 0.0000 0.5000 0.5827 1
Tl3 Tl 0.5000 0.5000 0.0826 1
Br1 Br 0.5000 0.0000 0.5839 1
```

=====

Density functional theory data (PBE) for a geometry-optimized Li2LaSc2Sn2 structure.

Calculated values
**Total energy**: -4.696 eV per atom

Structure (CIF):
```
data_Li2LaSc2Sn2
_chemical_formula_sum 'Li2 La1 Sc2 Sn2'
_symmetry_space_group_name_H-M 'P 1'
_symmetry_Int_Tables_number 1
_cell_length_a 4.7389
_cell_length_b 4.7389
_cell_length_c 9.0912
_cell_angle_alpha 74.89
_cell_angle_beta 74.89
_cell_angle_gamma 60.00
loop_
_symmetry_equiv_pos_as_xyz
'x,y,z'
loop_
_atom_site_label
_atom_site_type_symbol
_atom_site_fract_x
_atom_site_fract_y
_atom_site_fract_z
_atom_site_occupancy
Li1 Li 0.5701 0.5701 0.2898 1
Li2 Li 0.4299 0.4299 0.7102 1
La1 La 0.0000 0.0000 0.0000 1
Sc1 Sc 0.1344 0.1344 0.5969 1
Sc2 Sc 0.8656 0.8656 0.4031 1
Sn1 Sn 0.7461 0.7461 0.7616 1
Sn2 Sn 0.2539 0.2539 0.2384 1
```

=====

Density functional theory data (PBE) for a geometry-optimized Er2CS structure.

Calculated values
**Total energy**: -6.666 eV per atom
**Formation energy (no corrections)**: -1.046 eV/atom

Structure (CIF):
```
data_Er2CS
_chemical_formula_sum 'Er8 C4 S4'
_symmetry_space_group_name_H-M 'P 1'
_symmetry_Int_Tables_number 1
_cell_length_a 3.7974
_cell_length_b 6.5074
_cell_length_c 12.5611
_cell_angle_alpha 90.00
_cell_angle_beta 90.00
_cell_angle_gamma 90.00
loop_
_symmetry_equiv_pos_as_xyz
'x,y,z'
loop_
_atom_site_label
_atom_site_type_symbol
_atom_site_fract_x
_atom_site_fract_y
_atom_site_fract_z
_atom_site_occupancy
Er1 Er 0.7500 0.2060 0.5206 1
Er2 Er 0.2500 0.2940 0.0206 1
Er3 Er 0.2500 0.7940 0.4794 1
Er4 Er 0.7500 0.7060 0.9794 1
Er5 Er 0.7500 0.6541 0.2505 1
Er6 Er 0.2500 0.8459 0.7505 1
Er7 Er 0.2500 0.3459 0.7495 1
Er8 Er 0.7500 0.1541 0.2495 1
C1 C 0.7500 0.9123 0.3902 1
C2 C 0.2500 0.5877 0.8902 1
C3 C 0.2500 0.0877 0.6098 1
C4 C 0.7500 0.4123 0.1098 1
S1 S 0.7500 0.5846 0.6401 1
S2 S 0.2500 0.9154 0.1401 1
S3 S 0.2500 0.4154 0.3599 1
S4 S 0.7500 0.0846 0.8599 1
```

=====

Density functional theory data (PBE) for a geometry-optimized BaRe2AgO8 structure.

Calculated values
**Total energy**: -7.418 eV per atom
**Formation energy (no corrections)**: -1.640 eV/atom

Structure (CIF):
```
data_BaRe2AgO8
_chemical_formula_sum 'Ba1 Re2 Ag1 O8'
_symmetry_space_group_name_H-M 'P 1'
_symmetry_Int_Tables_number 1
_cell_length_a 6.0255
_cell_length_b 6.0255
_cell_length_c 7.7424
_cell_angle_alpha 90.00
_cell_angle_beta 90.00
_cell_angle_gamma 120.00
loop_
_symmetry_equiv_pos_as_xyz
'x,y,z'
loop_
_atom_site_label
_atom_site_type_symbol
_atom_site_fract_x
_atom_site_fract_y
_atom_site_fract_z
_atom_site_occupancy
Ba1 Ba 0.0000 0.0000 0.0000 1
Re1 Re 0.6667 0.3333 0.2131 1
Re2 Re 0.3333 0.6667 0.7869 1
Ag1 Ag 0.0000 0.0000 0.5000 1
O1 O 0.3333 0.6667 0.0164 1
O2 O 0.3393 0.1716 0.2792 1
O3 O 0.8284 0.1677 0.2792 1
O4 O 0.6667 0.3333 0.9836 1
O5 O 0.1716 0.8323 0.7208 1
O6 O 0.6607 0.8284 0.7208 1
O7 O 0.1677 0.3393 0.7208 1
O8 O 0.8323 0.6607 0.2792 1
```

=====

Density functional theory data (PBE) for a geometry-optimized Cs3Se2S4 structure.

Calculated values
**Distance to the lowest polymorph of the same formula**: 0 meV per atom
**Total energy**: -3.512 eV per atom
**Formation energy (no corrections)**: -0.618 eV/atom

Structure (CIF):
```
data_Cs3Se2S4
_chemical_formula_sum 'Cs3 Se2 S4'
_symmetry_space_group_name_H-M 'P 1'
_symmetry_Int_Tables_number 1
_cell_length_a 4.8544
_cell_length_b 7.2240
_cell_length_c 10.9143
_cell_angle_alpha 104.44
_cell_angle_beta 90.00
_cell_angle_gamma 109.63
loop_
_symmetry_equiv_pos_as_xyz
'x,y,z'
loop_
_atom_site_label
_atom_site_type_symbol
_atom_site_fract_x
_atom_site_fract_y
_atom_site_fract_z
_atom_site_occupancy
Cs1 Cs 0.6585 0.3170 0.6537 1
Cs2 Cs 0.0000 0.0000 0.0000 1
Cs3 Cs 0.3415 0.6830 0.3463 1
Se1 Se 0.6066 0.2133 0.2944 1
Se2 Se 0.3934 0.7867 0.7056 1
S1 S 0.6893 0.3787 0.1472 1
S2 S 0.3107 0.6213 0.8528 1
S3 S 0.9178 0.8355 0.6601 1
S4 S 0.0822 0.1645 0.3399 1
```

=====

Density functional theory data (PBE) for a geometry-optimized CeHfMg structure.

Calculated values
**Distance to the lowest polymorph of the same formula**: 0 meV per atom
**Total energy**: -5.768 eV per atom

Structure (CIF):
```
data_CeHfMg
_chemical_formula_sum 'Ce2 Hf2 Mg2'
_symmetry_space_group_name_H-M 'P 1'
_symmetry_Int_Tables_number 1
_cell_length_a 3.2095
_cell_length_b 3.2121
_cell_length_c 16.3513
_cell_angle_alpha 84.27
_cell_angle_beta 90.00
_cell_angle_gamma 119.97
loop_
_symmetry_equiv_pos_as_xyz
'x,y,z'
loop_
_atom_site_label
_atom_site_type_symbol
_atom_site_fract_x
_atom_site_fract_y
_atom_site_fract_z
_atom_site_occupancy
Ce1 Ce 0.0697 0.1395 0.3938 1
Ce2 Ce 0.6795 0.3590 0.5708 1
Hf1 Hf 0.1776 0.3552 0.0734 1
Hf2 Hf 0.4598 0.9197 0.2227 1
Mg1 Mg 0.2862 0.5723 0.7505 1
Mg2 Mg 0.5650 0.1300 0.9116 1
```

=====

Density functional theory data (PBE) for a geometry-optimized Ga2CuPt4 structure.

Calculated values
**Distance to the lowest polymorph of the same formula**: 0 meV per atom
**Total energy**: -5.276 eV per atom

Structure (CIF):
```
data_Ga2CuPt4
_chemical_formula_sum 'Ga4 Cu2 Pt8'
_symmetry_space_group_name_H-M 'P 1'
_symmetry_Int_Tables_number 1
_cell_length_a 5.9656
_cell_length_b 5.9721
_cell_length_c 7.2748
_cell_angle_alpha 106.98
_cell_angle_beta 107.18
_cell_angle_gamma 106.53
loop_
_symmetry_equiv_pos_as_xyz
'x,y,z'
loop_
_atom_site_label
_atom_site_type_symbol
_atom_site_fract_x
_atom_site_fract_y
_atom_site_fract_z
_atom_site_occupancy
Ga1 Ga 0.5492 0.2849 0.6638 1
Ga2 Ga 0.6299 0.8636 0.1641 1
Ga3 Ga 0.7189 0.4517 0.3354 1
Ga4 Ga 0.1332 0.3683 0.8364 1
Cu1 Cu 0.1711 0.8312 0.4995 1
Cu2 Cu 0.9194 0.0783 0.0000 1
Pt1 Pt 0.0423 0.2614 0.4316 1
Pt2 Pt 0.3084 0.5218 0.2399 1
Pt3 Pt 0.9670 0.6813 0.7388 1
Pt4 Pt 0.7333 0.9571 0.5694 1
Pt5 Pt 0.3215 0.0356 0.2605 1
Pt6 Pt 0.4185 0.1396 0.9310 1
Pt7 Pt 0.4746 0.6901 0.7608 1
Pt8 Pt 0.8627 0.5849 0.0687 1
```

=====

Density functional theory data (PBE) for a geometry-optimized La6CePmPr2 structure.

Calculated values
**Total energy**: -4.783 eV per atom

Structure (CIF):
```
data_La6CePmPr2
_chemical_formula_sum 'La6 Ce1 Pm1 Pr2'
_symmetry_space_group_name_H-M 'P 1'
_symmetry_Int_Tables_number 1
_cell_length_a 9.2043
_cell_length_b 7.0668
_cell_length_c 6.8116
_cell_angle_alpha 121.25
_cell_angle_beta 104.38
_cell_angle_gamma 90.00
loop_
_symmetry_equiv_pos_as_xyz
'x,y,z'
loop_
_atom_site_label
_atom_site_type_symbol
_atom_site_fract_x
_atom_site_fract_y
_atom_site_fract_z
_atom_site_occupancy
La1 La 0.4127 0.6235 0.2470 1
La2 La 0.1982 0.0467 0.6234 1
La3 La 0.8018 0.4233 0.3766 1
La4 La 0.1982 0.5767 0.6234 1
La5 La 0.8018 0.9533 0.3766 1
La6 La 0.5873 0.3765 0.7530 1
Ce1 Ce 0.0000 0.5000 0.0000 1
Pm1 Pm 0.5000 0.0000 0.0000 1
Pr1 Pr 0.1693 0.0832 0.1665 1
Pr2 Pr 0.8307 0.9168 0.8335 1
```

=====

Density functional theory data (PBE) for a geometry-optimized Zr2AgRh structure.

Calculated values
**Total energy**: -7.021 eV per atom

Structure (CIF):
```
data_Zr2AgRh
_chemical_formula_sum 'Zr2 Ag1 Rh1'
_symmetry_space_group_name_H-M 'P 1'
_symmetry_Int_Tables_number 1
_cell_length_a 4.6929
_cell_length_b 4.6929
_cell_length_c 4.6929
_cell_angle_alpha 60.00
_cell_angle_beta 60.00
_cell_angle_gamma 60.00
loop_
_symmetry_equiv_pos_as_xyz
'x,y,z'
loop_
_atom_site_label
_atom_site_type_symbol
_atom_site_fract_x
_atom_site_fract_y
_atom_site_fract_z
_atom_site_occupancy
Ag1 Ag 0.5000 0.5000 0.5000 1
Rh1 Rh 0.7500 0.7500 0.7500 1
Zr1 Zr 0.0000 0.0000 0.0000 1
Zr2 Zr 0.2500 0.2500 0.2500 1
```

=====

Density functional theory data (PBE) for a geometry-optimized La3Al2SnPd9 structure.

Calculated values
**Total energy**: -5.528 eV per atom

Structure (CIF):
```
data_La3Al2SnPd9
_chemical_formula_sum 'La3 Al2 Sn1 Pd9'
_symmetry_space_group_name_H-M 'P 1'
_symmetry_Int_Tables_number 1
_cell_length_a 5.8091
_cell_length_b 5.8091
_cell_length_c 11.3627
_cell_angle_alpha 90.00
_cell_angle_beta 90.00
_cell_angle_gamma 120.00
loop_
_symmetry_equiv_pos_as_xyz
'x,y,z'
loop_
_atom_site_label
_atom_site_type_symbol
_atom_site_fract_x
_atom_site_fract_y
_atom_site_fract_z
_atom_site_occupancy
La1 La 0.3333 0.6667 0.6195 1
La2 La 0.0000 0.0000 0.0000 1
La3 La 0.6667 0.3333 0.3805 1
Al1 Al 0.3333 0.6667 0.1593 1
Al2 Al 0.6667 0.3333 0.8407 1
Sn1 Sn 0.0000 0.0000 0.5000 1
Pd1 Pd 0.8331 0.1669 0.6850 1
Pd2 Pd 0.8331 0.6663 0.6850 1
Pd3 Pd 0.3337 0.1669 0.6850 1
Pd4 Pd 0.6663 0.8331 0.3150 1
Pd5 Pd 0.1669 0.3337 0.3150 1
Pd6 Pd 0.1669 0.8331 0.3150 1
Pd7 Pd 0.5000 0.0000 0.0000 1
Pd8 Pd 0.0000 0.5000 0.0000 1
Pd9 Pd 0.5000 0.5000 0.0000 1
```

=====

Going through the records in order, we get mass density values of 7.1, 6.5, 9.0, 4.7, 8.1, 5.1, 3.3, 7.9, 15.1, 6.4, 8.9, 7.7 Mg/m³.